TlTeRh2 | GGA-PBEsol | relaxed

a b c (Å): 4.4070 4.4070 5.7046
angles (deg): 102.39 102.39 43.29
Element x y z (fractional)
1 Tl 0.0000 0.0000 0.0000
2 Te 0.5000 0.5000 0.5000
3 Rh 0.2477 0.2477 0.7193
4 Rh 0.7523 0.7523 0.2807

**Magnetization**: 0.00 μB/atom
**Total energy**: -5.54 eV per atom
**Symmetry**: No. 12
**Raw formation energy**: 0.07 eV per atom
**E above lowest polymorph**: 38.6 meV per atom
**Density of states at the Fermi level**: 2.52 states/eV/cell



Y2MgGa2 | GGA-PBEsol | relaxed

a b c (Å): 7.2988 7.2988 4.2422
angles (deg): 90.00 90.00 90.00
Element x y z (fractional)
1 Y 0.1729 0.3271 0.0000
2 Y 0.3271 0.8271 0.0000
3 Y 0.6729 0.1729 0.0000
4 Y 0.8271 0.6729 0.0000
5 Mg 0.0000 0.0000 0.5000
6 Mg 0.5000 0.5000 0.5000
7 Ga 0.1249 0.6249 0.5000
8 Ga 0.3751 0.1249 0.5000
9 Ga 0.6249 0.8751 0.5000
10 Ga 0.8751 0.3751 0.5000

**Magnetization**: 0.00 μB/atom
**Total energy**: -5.01 eV per atom
**Symmetry**: No. 127
**Formation energy from the elements**: -0.598 eV/atom
**Density of states at the Fermi level**: 7.44 states/eV/cell



CaMg2Ta | GGA-PBEsol | relaxed

a b c (Å): 5.5602 5.5602 5.5602
angles (deg): 132.92 132.92 68.78
Element x y z (fractional)
1 Ca 0.0000 0.0000 0.0000
2 Mg 0.5000 0.5000 0.0000
3 Mg 0.7500 0.2500 0.5000
4 Ta 0.2500 0.7500 0.5000

**Magnetization**: 0.39 μB/atom
**Total energy**: -3.90 eV per atom
**Symmetry**: No. 119
**Formation energy from the elements**: 0.633 eV/atom
**Density of states at the Fermi level**: 3.95 states/eV/cell



TaSbW2 | GGA-PBEsol | relaxed

a b c (Å): 2.8817 4.5907 5.4185
angles (deg): 90.00 104.68 90.00
Element x y z (fractional)
1 Ta 0.0000 0.0000 0.0000
2 Sb 0.5000 0.0000 0.5000
3 W 0.2312 0.5000 0.7555
4 W 0.7688 0.5000 0.2445

**Magnetization**: 0.00 μB/atom
**Total energy**: -10.76 eV per atom
**Symmetry**: No. 10
**Raw formation energy**: 0.42 eV per atom
**Density of states at the Fermi level**: 2.64 states/eV/cell